1.
Here is Tl2TeS3 after structural relaxation from the Alexandria database. Energies are from PBE-GGA.

extended XYZ file:
```
12
Lattice="7.180 -3.141 0.000 7.180 3.141 0.000 -2.212 0.000 7.633" Properties=species:S:1:pos:R:3 pbc="T T T"
Tl 2.343 0.009 0.672
Tl 1.237 -0.009 4.488
Tl 10.911 0.009 3.144
Tl 9.805 -0.009 6.961
Te 5.521 0.256 5.725
Te 6.627 -0.256 1.908
S 5.521 2.648 5.725
S 3.202 0.022 7.121
S 4.308 -0.022 3.304
S 7.840 0.022 4.329
S 8.946 -0.022 0.512
S 6.627 -2.648 1.908
```

The space group is C2/c, No. 15.

---

2.
Here is TlTe2S2 after structural relaxation from the Alexandria database. Energies are from PBE-GGA.

extended XYZ file:
```
10
Lattice="8.909 0.000 0.000 0.000 8.909 0.000 0.000 0.000 3.538" Properties=species:S:1:pos:R:3 pbc="T T T"
Tl 0.000 0.000 0.000
Tl 4.454 4.454 0.000
Te 1.177 3.277 0.000
Te 3.277 7.731 0.000
Te 5.632 1.177 0.000
Te 7.731 5.632 0.000
S 1.950 6.404 1.769
S 2.505 1.950 1.769
S 6.404 6.959 1.769
S 6.959 2.505 1.769
```

The distance to the lowest polymorph of the same formula comes out at 34 kJ/mol of formula units. The space group is P4/mbm, No. 127.

---

3.
Here is TlTe2S2 after structural relaxation from the Alexandria database. Energies are from PBE-GGA.

extended XYZ file:
```
10
Lattice="9.031 0.000 0.000 0.000 9.031 0.000 0.000 0.000 3.428" Properties=species:S:1:pos:R:3 pbc="T T T"
Tl 0.000 0.000 0.000
Tl 4.516 4.516 0.000
Te 2.161 2.354 1.714
Te 2.354 6.870 1.714
Te 6.677 2.161 1.714
Te 6.870 6.677 1.714
S 0.997 5.512 0.000
S 3.519 0.997 0.000
S 5.512 8.035 0.000
S 8.035 3.519 0.000
```

The distance to the lowest polymorph of the same formula comes out at 20 kJ/mol of formula units. The space group is P4/mbm, No. 127.

---

4.
Here is Tl3TeS3 after structural relaxation from the Alexandria database. Energies are from PBE-GGA.

extended XYZ file:
```
14
Lattice="4.644 -8.050 0.000 4.644 8.050 0.000 0.000 0.000 6.554" Properties=species:S:1:pos:R:3 pbc="T T T"
Tl 2.718 1.564 4.915
Tl 4.644 4.915 4.915
Tl 2.718 -1.564 1.638
Tl 6.571 1.564 4.915
Tl 4.644 -4.915 1.638
Tl 6.571 -1.564 1.638
Te 4.644 2.687 1.638
Te 4.644 -2.687 4.915
S 4.644 5.231 1.638
S 2.449 1.409 1.638
S 2.449 -1.409 4.915
S 6.840 1.409 1.638
S 6.840 -1.409 4.915
S 4.644 -5.231 4.915
```

The distance to the lowest polymorph of the same formula comes out at 70 kJ/mol of formula units. The space group is Cmcm, No. 63.

---

5.
Here is TlTe2S3 after structural relaxation from the Alexandria database. Energies are from PBE-GGA.

extended XYZ file:
```
12
Lattice="3.842 0.000 0.000 0.000 11.076 0.000 0.000 0.000 8.073" Properties=species:S:1:pos:R:3 pbc="T T T"
Tl 0.000 1.535 0.000
Tl 0.000 9.541 4.036
Te 0.000 1.974 4.106
Te 0.000 9.102 0.069
Te 1.921 5.427 2.209
Te 1.921 5.649 6.245
S 0.000 5.325 0.134
S 0.000 5.751 4.170
S 1.921 0.787 5.484
S 1.921 2.980 2.361
S 1.921 8.096 6.398
S 1.921 10.289 1.448
```

The space group is Pmc2_1, No. 26.

---

6.
Here is Tl2TeS4 after structural relaxation from the Alexandria database. Energies are from PBE-GGA.

extended XYZ file:
```
14
Lattice="8.317 0.000 0.000 0.000 11.659 0.000 0.000 0.000 3.975" Properties=species:S:1:pos:R:3 pbc="T T T"
Tl 2.044 2.890 0.000
Tl 2.114 8.719 0.000
Tl 6.203 2.939 0.000
Tl 6.273 8.769 0.000
Te 0.000 5.829 1.988
Te 4.159 0.000 1.988
S 0.031 8.554 1.988
S 1.864 5.809 0.000
S 2.294 11.638 0.000
S 4.127 2.725 1.988
S 4.190 8.934 1.988
S 6.023 0.020 0.000
S 6.453 5.850 0.000
S 8.286 3.104 1.988
```

The distance to the lowest polymorph of the same formula comes out at 0 kJ/mol of formula units. The space group is Pbam, No. 55.

---

7.
Here is Tl2Te2S3 after structural relaxation from the Alexandria database. Energies are from PBE-GGA.

extended XYZ file:
```
7
Lattice="6.746 -2.127 0.000 6.746 2.127 0.000 -2.325 0.000 7.862" Properties=species:S:1:pos:R:3 pbc="T T T"
Tl 0.734 0.000 3.272
Tl 10.433 0.000 4.590
Te 4.798 0.000 0.867
Te 6.370 0.000 6.995
S 1.716 0.000 6.545
S 5.584 0.000 3.931
S 9.451 0.000 1.317
```

The distance to the lowest polymorph of the same formula comes out at 32 kJ/mol of formula units. The space group is C2/m, No. 12.

---

8.
Here is Tl2TeS4 after structural relaxation from the Alexandria database. Energies are from PBE-GGA.

extended XYZ file:
```
14
Lattice="4.306 -6.225 0.000 4.306 6.225 0.000 -4.225 0.000 8.873" Properties=species:S:1:pos:R:3 pbc="T T T"
Tl 1.137 5.558 6.655
Tl 3.250 2.428 2.218
Tl 1.137 -2.428 6.655
Tl 3.250 -5.558 2.218
Te 1.137 1.567 6.655
Te 3.250 -1.567 2.218
S -0.173 2.981 7.958
S -0.152 0.157 5.327
S 1.960 -0.157 0.891
S 2.447 2.981 5.351
S 1.940 -2.981 3.521
S 2.426 0.157 7.982
S 4.539 -0.157 3.546
S 4.559 -2.981 0.915
```

The distance to the lowest polymorph of the same formula comes out at 20 kJ/mol of formula units. The space group is C2/c, No. 15.

---

9.
Here is Tl5TeS after structural relaxation from the Alexandria database. Energies are from PBE-GGA.

extended XYZ file:
```
14
Lattice="3.128 -10.514 0.000 3.128 10.514 0.000 -0.288 0.000 7.081" Properties=species:S:1:pos:R:3 pbc="T T T"
Tl 2.912 7.903 5.311
Tl 1.406 0.724 6.232
Tl 2.912 4.154 3.675
Tl 1.550 -0.724 2.691
Tl 2.912 4.154 6.947
Tl 3.055 -4.154 0.134
Tl 4.418 0.724 4.389
Tl 3.056 -4.154 3.406
Tl 4.561 -0.724 0.849
Tl 3.056 -7.903 1.770
Te 3.056 6.984 1.770
Te 2.912 -6.984 5.311
S 3.056 2.000 1.770
S 2.912 -2.000 5.311
```

The space group is C2/c, No. 15.

---

10.
Here is Tl2TeS4 after structural relaxation from the Alexandria database. Energies are from PBE-GGA.

extended XYZ file:
```
7
Lattice="-2.602 2.602 7.153 2.602 -2.602 7.153 2.602 2.602 -7.153" Properties=species:S:1:pos:R:3 pbc="T T T"
Tl 0.000 0.000 1.901
Tl 0.000 0.000 12.406
Te 0.000 0.000 7.153
S 2.602 0.000 0.000
S 0.000 0.000 4.683
S 0.000 2.602 0.000
S 0.000 0.000 9.624
```

The distance to the lowest polymorph of the same formula comes out at 118 kJ/mol of formula units. The space group is I4/mmm, No. 139.

---

11.
Here is Tl5TeS5 after structural relaxation from the Alexandria database. Energies are from PBE-GGA.

extended XYZ file:
```
11
Lattice="6.899 -2.883 0.000 6.899 2.883 0.000 -3.617 0.000 7.770" Properties=species:S:1:pos:R:3 pbc="T T T"
Tl 0.000 0.000 0.000
Tl 3.355 0.000 1.592
Tl 2.399 0.000 5.600
Tl 7.783 0.000 2.170
Tl 6.827 0.000 6.177
Te -1.808 0.000 3.885
S -0.874 0.000 6.353
S 0.713 0.000 3.092
S 5.091 0.000 3.885
S 9.469 0.000 4.678
S 11.056 0.000 1.416
```

The space group is C2/m, No. 12.

---

12.
Here is Tl3TeS after structural relaxation from the Alexandria database. Energies are from PBE-GGA.

extended XYZ file:
```
5
Lattice="5.639 0.000 0.000 0.000 5.639 0.000 0.000 0.000 5.639" Properties=species:S:1:pos:R:3 pbc="T T T"
Tl 0.000 0.000 2.819
Tl 0.000 2.819 0.000
Tl 2.819 0.000 0.000
Te 2.819 2.819 2.819
S 0.000 0.000 0.000
```

The distance to the lowest polymorph of the same formula comes out at 108 kJ/mol of formula units. The space group is Pm-3m, No. 221.

---

DFT total energy across the listed records, respectively: -3.546; -3.227; -3.256; -3.329; -3.515; -3.524; -3.385; -3.495; -2.913; -3.350; -3.400; -2.901 eV per atom.
Uncorrected formation energy across the listed records, respectively: -0.1699; 0.1543; 0.1253; -0.0969; -0.0092; -0.0410; -0.0425; -0.0111; -0.1841; 0.1339; -0.1626; -0.0277 eV/atom.